# 1
# NbSeN3

A geometry-optimized NbSeN3 structure (PBE, Alexandria).

Geometry as POSCAR:
```
NbSeN3
1.0
4.095 0.000 0.000
0.000 4.095 0.000
0.000 0.000 4.095
Nb Se N
1 1 3
direct
0.000 0.000 0.000
0.500 0.500 0.500
0.000 0.500 0.000
0.000 0.000 0.500
0.500 0.000 0.000
```

spin magnetization	0.52	Bohr magnetons per cell
formation energy (no corrections)	1.11	eV/atom
DFT total energy	-6.60	eV/atom

***

# 2
# Ac2PdS3

A geometry-optimized Ac2PdS3 structure (PBE, Alexandria).

Geometry as POSCAR:
```
Ac2PdS3
1.0
-2.931 2.786 1.156
-5.818 -4.312 -4.355
-3.299 -8.999 13.317
Ac Pd S
8 4 12
direct
0.250 0.235 0.969
0.750 0.765 0.031
0.750 0.265 0.469
0.250 0.735 0.531
0.750 0.086 0.720
0.250 0.914 0.280
0.250 0.414 0.220
0.750 0.586 0.780
0.250 0.379 0.634
0.750 0.621 0.366
0.750 0.121 0.134
0.250 0.879 0.866
0.250 0.315 0.784
0.750 0.685 0.216
0.750 0.185 0.284
0.250 0.815 0.716
0.750 0.022 0.899
0.250 0.978 0.101
0.250 0.478 0.399
0.750 0.522 0.601
0.250 0.107 0.574
0.750 0.893 0.426
0.750 0.393 0.074
0.250 0.607 0.926
```

spin magnetization	0.00	Bohr magnetons per cell
formation energy (no corrections)	-1.80	eV/atom
offset from the most stable computed form	0	meV per atom
DFT total energy	-6.10	eV/atom

***

# 3
# TaCo

A geometry-optimized TaCo structure (PBE, Alexandria).

Geometry as POSCAR:
```
TaCo
1.0
2.784 0.016 0.000
-0.186 2.778 0.000
0.000 0.000 7.563
Co Ta
2 2
direct
0.000 0.000 0.966
0.500 0.500 0.784
0.000 0.000 0.529
0.500 0.500 0.221
```

spin magnetization	2.81	Bohr magnetons per cell
energy relative to the elements	0.06	eV/f.u.
DFT total energy	-9.45	eV/atom

***

# 4
# TmZn9Ni2

A geometry-optimized TmZn9Ni2 structure (PBE, Alexandria).

Geometry as POSCAR:
```
TmZn9Ni2
1.0
-6.487 -1.476 0.894
-1.643 -3.895 6.849
-4.230 5.662 3.850
Tm Zn Ni
2 18 4
direct
0.500 0.000 0.000
0.250 0.500 0.500
0.750 0.500 0.500
0.000 0.000 0.000
0.010 0.919 0.676
0.605 0.081 0.324
0.679 0.176 0.581
0.437 0.824 0.419
0.740 0.824 0.581
0.145 0.176 0.419
0.071 0.919 0.324
0.313 0.081 0.676
0.740 0.581 0.824
0.145 0.419 0.176
0.071 0.324 0.919
0.313 0.676 0.081
0.010 0.676 0.919
0.605 0.324 0.081
0.679 0.581 0.176
0.437 0.419 0.824
0.875 0.250 0.750
0.875 0.750 0.250
0.875 0.250 0.250
0.375 0.750 0.750
```

spin magnetization	0.00	Bohr magnetons per cell
offset from the most stable computed form	0	meV per atom
energy relative to the elements	-2.83	eV/f.u.
DFT total energy	-2.53	eV/atom

***

# 5
# PmGdTlAg

A geometry-optimized PmGdTlAg structure (PBE, Alexandria).

Geometry as POSCAR:
```
PmGdTlAg
1.0
5.351 0.000 0.000
2.676 4.634 0.000
2.676 1.545 4.369
Tl Gd Ag Pm
1 1 1 1
direct
0.750 0.750 0.750
0.000 0.000 0.000
0.250 0.250 0.250
0.500 0.500 0.500
```

spin magnetization	7.64	Bohr magnetons per cell
energy relative to the elements	-1.36	eV/f.u.
DFT total energy	-6.35	eV/atom

***

# 6
# LiTmScIr

A geometry-optimized LiTmScIr structure (PBE, Alexandria).

Geometry as POSCAR:
```
LiTmScIr
1.0
4.738 0.000 0.000
2.369 4.103 0.000
2.369 1.368 3.869
Sc Ir Tm Li
1 1 1 1
direct
0.250 0.250 0.250
0.500 0.500 0.500
0.750 0.750 0.750
0.000 0.000 0.000
```

spin magnetization	0.00	Bohr magnetons per cell
energy relative to the elements	-2.53	eV/f.u.
DFT total energy	-6.03	eV/atom